The following is a meta-GGA SCAN calculation of CaFeNF2 at its PBEsol-relaxed geometry, from the Alexandria database.

DOS(E_F): 5.18 states/eV per cell
Space-group type: No. 123
ΔE_f (raw): -0.899 eV per atom

```
CaFeNF2
1.0
4.073 0.000 0.000
0.000 4.073 0.000
0.000 0.000 4.808
F Ca N Fe
2 1 1 1
Direct
0.000 0.500 0.000
0.500 0.000 0.000
0.000 0.000 0.000
0.000 0.000 0.500
0.500 0.500 0.500
```